No. 1
## LiCo2RuBr (PBE)

Data for a geometry-optimized LiCo2RuBr structure.

Cell: 4.4469 4.4469 5.2319 Å, 90.00 90.00 90.00°
Closest atoms and distances in Å follow each position.
Fractional positions:
1 Br 0.0000 0.0000 0.5000  2 Ru 2.62
2 Co 0.0000 0.5000 0.0000  2 Ru 2.22
3 Co 0.5000 0.0000 0.0000  2 Ru 2.22
4 Ru 0.0000 0.0000 0.0000  4 Co 2.22
5 Li 0.5000 0.5000 0.5000  4 Br 3.14, 8 Co 3.43

Values from the calculation:
For the density of states at the Fermi level, the calculation gives 8.5 states/eV/cell. As for the energy relative to the elements, uncorrected: 936.3 meV/atom. The symmetry is P4/mmm, No. 123.



No. 2
## LiCoSe2Br (PBE)

Data for a geometry-optimized LiCoSe2Br structure.

Cell: 4.4499 4.4499 5.7239 Å, 90.00 90.00 90.00°
Closest atoms and distances in Å follow each position.
Fractional positions:
1 Li 0.0000 0.0000 0.0000  4 Se 2.22
2 Br 0.0000 0.0000 0.5000  2 Li 2.86, 4 Co 3.15
3 Se 0.5000 0.0000 0.0000  2 Li 2.22
4 Se 0.0000 0.5000 0.0000  2 Li 2.22
5 Co 0.5000 0.5000 0.5000  4 Br 3.15

Values from the calculation:
For the density of states at the Fermi level, the calculation gives 4.8 states/eV/cell. As for the energy relative to the elements, uncorrected: 533.1 meV/atom. The symmetry is P4/mmm, No. 123. As for the relative energy among the computed polymorphs: 68.7 kJ/mol of atoms.



No. 3
## LiCoSeBr2 (PBE)

Data for a geometry-optimized LiCoSeBr2 structure.

Cell: 5.1994 5.1994 4.4821 Å, 90.00 90.00 90.00°
Closest atoms and distances in Å follow each position.
Fractional positions:
1 Se 0.0000 0.0000 0.5000  2 Co 2.24
2 Co 0.0000 0.0000 0.0000  2 Se 2.24
3 Br 0.5000 0.0000 0.0000  2 Co 2.60
4 Li 0.5000 0.5000 0.5000  8 Br 3.43, 4 Se 3.68
5 Br 0.0000 0.5000 0.0000  2 Co 2.60

Values from the calculation:
For the density of states at the Fermi level, the calculation gives 4.3 states/eV/cell. As for the energy relative to the elements, uncorrected: -289.7 meV/atom. The symmetry is P4/mmm, No. 123. As for the relative energy among the computed polymorphs: 0.0 kJ/mol of atoms.



No. 4
## LiCoSe2Br (PBE)

Data for a geometry-optimized LiCoSe2Br structure.

Cell: 4.5724 4.5724 5.9285 Å, 90.00 90.00 90.00°
Closest atoms and distances in Å follow each position.
Fractional positions:
1 Se 0.5000 0.0000 0.0000  2 Co 2.29
2 Co 0.0000 0.0000 0.0000  4 Se 2.29
3 Li 0.5000 0.5000 0.5000  4 Br 3.23
4 Br 0.0000 0.0000 0.5000  2 Co 2.96, 4 Li 3.23
5 Se 0.0000 0.5000 0.0000  2 Co 2.29

Values from the calculation:
For the density of states at the Fermi level, the calculation gives 4.0 states/eV/cell. As for the energy relative to the elements, uncorrected: -178.9 meV/atom. The symmetry is P4/mmm, No. 123. As for the relative energy among the computed polymorphs: 0.0 kJ/mol of atoms.



No. 5
## LiCoSn2Br (PBE)

Data for a geometry-optimized LiCoSn2Br structure.

Cell: 5.1578 4.3729 5.1578 Å, 90.00 90.00 90.00°
Closest atoms and distances in Å follow each position.
Fractional positions:
1 Co 0.0000 0.5000 0.0000  2 Li 2.19
2 Br 0.5000 0.5000 0.5000  8 Sn 3.38, 4 Co 3.65
3 Sn 0.5000 0.0000 0.0000  2 Li 2.58
4 Li 0.0000 0.0000 0.0000  2 Co 2.19
5 Sn 0.0000 0.0000 0.5000  2 Li 2.58

Values from the calculation:
For the density of states at the Fermi level, the calculation gives 4.6 states/eV/cell. As for the energy relative to the elements, uncorrected: 543.6 meV/atom. The symmetry is P4/mmm, No. 123.



No. 6
## Li2CoTeBr (PBE)

Data for a geometry-optimized Li2CoTeBr structure.

Cell: 4.7082 4.8213 4.7082 Å, 90.00 90.00 90.00°
Closest atoms and distances in Å follow each position.
Fractional positions:
1 Li 0.0000 0.0000 0.5000  2 Br 2.35
2 Li 0.5000 0.0000 0.0000  2 Br 2.35
3 Br 0.0000 0.0000 0.0000  4 Li 2.35, 2 Co 2.41
4 Co 0.0000 0.5000 0.0000  2 Br 2.41
5 Te 0.5000 0.5000 0.5000  4 Co 3.33, 8 Li 3.37

Values from the calculation:
For the density of states at the Fermi level, the calculation gives 3.8 states/eV/cell. As for the energy relative to the elements, uncorrected: -265.0 meV/atom. The symmetry is P4/mmm, No. 123.



The following E_tot values (in eV per cell) correspond, in order, to the records above: -22.4 -15.0 -17.3 -18.6 -16.0 -17.1.